Record 1
Computed, not measured: a geometry-optimized Zr2AgAuI structure at the PBE level of DFT.

Summary:
The calculation puts the density at 7.12 g/cm3. The uncorrected formation energy comes out at 98.7 kJ/mol of atoms.

The structure in CIF format:
```
data_Zr2AgAuI
_symmetry_space_group_name_H-M 'P 4/m m m'
_symmetry_Int_Tables_number 123
_symmetry_space_group_name_Hall '-P 4 2'
_cell_length_a 5.2660
_cell_length_b 5.2660
_cell_length_c 5.1648
_cell_angle_alpha 90.00
_cell_angle_beta 90.00
_cell_angle_gamma 90.00
loop_
_atom_site_label
_atom_site_fract_x
_atom_site_fract_y
_atom_site_fract_z
Zr1 0.0000 0.5000 0.0000
Ag1 0.0000 0.0000 0.5000
Au1 0.5000 0.5000 0.5000
I1 0.5000 0.5000 0.0000
```

***

Record 2
Computed, not measured: a geometry-optimized InAg2Au5 structure at the PBE level of DFT.

Summary:
The calculation puts the density at 10.90 g/cm3. Its energy relative to the lowest polymorph listed for this composition is 0.4949 eV/atom. As for the formation energy: 0.431 eV per atom.

The structure in CIF format:
```
data_InAg2Au5
_symmetry_space_group_name_H-M 'P 4/m m m'
_symmetry_Int_Tables_number 123
_symmetry_space_group_name_Hall '-P 4 2'
_cell_length_a 6.3080
_cell_length_b 6.3080
_cell_length_c 5.0353
_cell_angle_alpha 90.00
_cell_angle_beta 90.00
_cell_angle_gamma 90.00
loop_
_atom_site_label
_atom_site_fract_x
_atom_site_fract_y
_atom_site_fract_z
In1 0.0000 0.0000 0.0000
Ag1 0.0000 0.5000 0.5000
Au1 0.0000 0.0000 0.5000
Au2 0.2906 0.2906 0.0000
```

***

Record 3
Computed, not measured: a geometry-optimized In2AgAu structure at the PBE level of DFT.

Summary:
The calculation puts the density at 10.28 g/cm3. As for the formation energy: -0.068 eV per atom.

The structure in CIF format:
```
data_In2AgAu
_symmetry_space_group_name_H-M 'C 1 m 1'
_symmetry_Int_Tables_number 8
_symmetry_space_group_name_Hall 'C -2y'
_cell_length_a 9.5115
_cell_length_b 3.7222
_cell_length_c 4.9752
_cell_angle_alpha 90.00
_cell_angle_beta 101.47
_cell_angle_gamma 90.00
loop_
_atom_site_label
_atom_site_fract_x
_atom_site_fract_y
_atom_site_fract_z
In1 0.0000 0.0000 0.0000
In2 0.2376 0.0000 0.6774
Ag1 0.4928 0.0000 0.4732
Au1 0.2415 0.5000 0.2054
```

***

Record 4
Computed, not measured: a geometry-optimized InAg5Au3 structure at the PBE level of DFT.

Summary:
The calculation puts the density at 10.74 g/cm3. As for the formation energy: 0.149 eV per atom.

The structure in CIF format:
```
data_InAg5Au3
_symmetry_space_group_name_H-M 'C 1 2/m 1'
_symmetry_Int_Tables_number 12
_symmetry_space_group_name_Hall '-C 2y'
_cell_length_a 8.5661
_cell_length_b 7.8502
_cell_length_c 11.5464
_cell_angle_alpha 90.00
_cell_angle_beta 97.45
_cell_angle_gamma 90.00
loop_
_atom_site_label
_atom_site_fract_x
_atom_site_fract_y
_atom_site_fract_z
In1 0.0602 0.0000 0.2687
Ag1 0.0000 0.3308 0.0000
Ag2 0.0307 0.5000 0.2952
Ag3 0.1961 0.2198 0.6671
Ag4 0.2124 0.5000 0.8754
Au1 0.0000 0.0000 0.0000
Au2 0.0000 0.0000 0.5000
Au3 0.1742 0.5000 0.5202
Au4 0.2451 0.0000 0.8655
```

***

Record 5
Computed, not measured: a geometry-optimized InAg2Au structure at the PBE level of DFT.

Summary:
The calculation puts the density at 10.45 g/cm3. As for the formation energy: 0.094 eV per atom.

The structure in CIF format:
```
data_InAg2Au
_symmetry_space_group_name_H-M 'I m m m'
_symmetry_Int_Tables_number 71
_symmetry_space_group_name_Hall '-I 2 2'
_cell_length_a 2.9495
_cell_length_b 4.8702
_cell_length_c 11.6705
_cell_angle_alpha 90.00
_cell_angle_beta 90.00
_cell_angle_gamma 90.00
loop_
_atom_site_label
_atom_site_fract_x
_atom_site_fract_y
_atom_site_fract_z
In1 0.0000 0.0000 0.0000
Ag1 0.0000 0.0000 0.2558
Au1 0.0000 0.0000 0.5000
```

***

Record 6
Computed, not measured: a geometry-optimized InAg3Au2 structure at the PBE level of DFT.

Summary:
The calculation puts the density at 11.91 g/cm3. Its energy relative to the lowest polymorph listed for this composition is 0.0059 eV/atom. As for the formation energy: -0.011 eV per atom.

The structure in CIF format:
```
data_InAg3Au2
_symmetry_space_group_name_H-M 'C m c m'
_symmetry_Int_Tables_number 63
_symmetry_space_group_name_Hall '-C 2c 2'
_cell_length_a 5.8922
_cell_length_b 14.4991
_cell_length_c 5.4343
_cell_angle_alpha 90.00
_cell_angle_beta 90.00
_cell_angle_gamma 90.00
loop_
_atom_site_label
_atom_site_fract_x
_atom_site_fract_y
_atom_site_fract_z
In1 0.0000 0.1467 0.2500
Ag1 0.0000 0.3488 0.7500
Ag2 0.2470 0.3206 0.2500
Au1 0.2458 0.5000 0.0000
```

***

no.,spin magnetization (Bohr magnetons per cell)
1,0.000
2,0.000
3,0.000
4,0.000
5,0.000
6,0.000